Fe3SnC | Alexandria | SCAN | single point on PBEsol structure; D(E_F) = 4.12 states/eV per cell; total energy = -17.49 eV/atom; magnetization = 8.1 μB per formula unit; theoretical density = 4.74 g/cm³; formation enthalpy at 0 K = 2.595 eV/atom
1.0
4.709 0.000 0.000
0.000 4.709 0.000
0.000 0.000 4.709
Fe C Sn
3 1 1
Direct
0.000 0.500 0.000 Fe
0.500 0.000 0.000 Fe
0.000 0.000 0.500 Fe
0.500 0.500 0.500 C
0.000 0.000 0.000 Sn

=====

Fe3SnC | Alexandria | SCAN | single point on PBEsol structure; D(E_F) = 2.21 states/eV per cell; total energy = -19.91 eV/atom; magnetization = 5.2 μB per formula unit; theoretical density = 9.16 g/cm³; formation enthalpy at 0 K = 0.174 eV/atom
1.0
-0.038 1.522 3.460
-0.133 -3.459 1.520
3.778 -0.106 0.088
Fe Sn C
3 1 1
Direct
0.500 0.000 0.000 Fe
0.000 0.500 0.000 Fe
0.000 0.000 0.500 Fe
0.500 0.500 0.500 Sn
0.000 0.000 0.000 C

=====

YFeSnC2 | Alexandria | SCAN | single point on PBEsol structure; D(E_F) = 2.78 states/eV per cell; total energy = -18.21 eV/atom; magnetization = 3.6 μB per formula unit; theoretical density = 4.92 g/cm³; formation enthalpy at 0 K = 2.207 eV/atom
1.0
-2.634 3.229 1.345
-3.485 -2.567 -0.663
0.346 -1.697 4.754
Sn C Fe Y
1 2 1 1
Direct
0.500 0.500 0.500 Sn
0.000 0.500 0.000 C
0.500 0.000 0.000 C
0.000 0.000 0.500 Fe
0.000 0.000 0.000 Y

=====

TaFeC2 | Alexandria | SCAN | single point on PBEsol structure; D(E_F) = 1.81 states/eV per cell; total energy = -25.47 eV/atom; magnetization = 1.4 μB per formula unit; theoretical density = 11.84 g/cm³; formation enthalpy at 0 K = 0.754 eV/atom
1.0
3.726 0.000 0.000
1.863 3.226 0.000
1.863 1.075 3.042
C Fe Ta
2 1 1
Direct
0.250 0.250 0.250 C
0.750 0.750 0.750 C
0.000 0.000 0.000 Fe
0.500 0.500 0.500 Ta

=====

TiFe3C | Alexandria | SCAN | single point on PBEsol structure; D(E_F) = 2.56 states/eV per cell; total energy = -16.19 eV/atom; magnetization = 1.2 μB per formula unit; theoretical density = 7.46 g/cm³; formation enthalpy at 0 K = -0.087 eV/atom
1.0
-1.782 0.089 3.241
0.862 -3.552 0.571
3.125 1.030 1.691
C Fe Ti
1 3 1
Direct
0.000 0.000 0.000 C
0.000 0.000 0.500 Fe
0.500 0.000 0.000 Fe
0.000 0.500 0.000 Fe
0.500 0.500 0.500 Ti

=====

Ti2FeC2 | Alexandria | SCAN | single point on PBEsol structure; D(E_F) = 1.86 states/eV per cell; total energy = -13.94 eV/atom; magnetization = 3.0 μB per formula unit; theoretical density = 4.81 g/cm³; formation enthalpy at 0 K = 0.138 eV/atom
1.0
3.906 0.000 0.000
0.000 3.906 0.000
-1.953 -1.953 3.975
Fe C Ti
1 2 2
Direct
0.000 0.000 0.000 Fe
0.750 0.250 0.500 C
0.250 0.750 0.500 C
0.321 0.321 0.641 Ti
0.679 0.679 0.359 Ti

=====

TlFeWC2 | Alexandria | SCAN | single point on PBEsol structure; D(E_F) = 2.85 states/eV per cell; total energy = -34.15 eV/atom; magnetization = 0.0 μB per formula unit; theoretical density = 11.20 g/cm³; formation enthalpy at 0 K = 1.925 eV/atom
1.0
3.775 0.000 0.000
0.000 3.775 0.000
0.000 0.000 4.870
Fe C W Tl
1 2 1 1
Direct
0.000 0.000 0.000 Fe
0.000 0.500 0.000 C
0.500 0.000 0.000 C
0.000 0.000 0.500 W
0.500 0.500 0.500 Tl

=====

Tm2FeC4 | Alexandria | SCAN | single point on PBEsol structure; D(E_F) = 1.13 states/eV per cell; total energy = -23.55 eV/atom; magnetization = 0.0 μB per formula unit; theoretical density = 8.71 g/cm³; formation enthalpy at 0 K = -0.380 eV/atom
1.0
4.911 0.000 0.000
2.455 5.933 -0.013
2.455 1.355 5.776
Fe Tm C
2 4 8
Direct
0.750 0.000 0.000 Fe
0.250 0.000 0.000 Fe
0.645 0.511 0.200 Tm
0.855 0.800 0.489 Tm
0.145 0.200 0.511 Tm
0.355 0.489 0.800 Tm
0.630 0.211 0.529 C
0.421 0.913 0.245 C
0.921 0.245 0.913 C
0.079 0.755 0.087 C
0.579 0.087 0.755 C
0.130 0.529 0.211 C
0.870 0.471 0.789 C
0.370 0.789 0.471 C